VASP calculation (meta-GGA SCAN) on a PBEsol-optimized structure of Li3TlNi.

```
data_Li3TlNi
_cell_length_a 4.489
_cell_length_b 4.489
_cell_length_c 4.489
_cell_angle_alpha 90.00
_cell_angle_beta 90.00
_cell_angle_gamma 90.00
_space_group_name_H-M_alt 'P m -3 m'
_space_group_IT_number 221
_space_group_name_Hall '-P 4 2 3'
loop_
_atom_site_label
_atom_site_type_symbol
_atom_site_fract_x
_atom_site_fract_y
_atom_site_fract_z
Li1 Li 0.000 0.000 0.500
Tl1 Tl 0.500 0.500 0.500
Ni1 Ni 0.000 0.000 0.000
```

Results
**E_tot**: -18.90 eV per atom
**Energy relative to the elements**: 1.2 eV/f.u.
**DOS(E_F)**: 3.1 states/eV per cell